# 1
VASP calculation (GGA-PBE) on CaCrIrW2 after structural relaxation.

Energy of formation from the pure elements in meV/atom: 3151

abc: 4.543 4.543 4.599
angles: 90.00 90.00 90.00
Space group P4/mmm (No. 123)
Unique sites:
Ca (0.000, 0.000, 0.000) (multiplicity 1)
Cr (0.500, 0.500, 0.500) (multiplicity 1)
Ir (0.000, 0.000, 0.500) (multiplicity 1)
W (0.000, 0.500, 0.000) (multiplicity 2)

---

# 2
VASP calculation (GGA-PBE) on CaCrIr2W after structural relaxation.

Energy of formation from the pure elements in meV/atom: 2921

abc: 4.621 4.621 4.605
angles: 90.00 90.00 90.00
Space group P4/mmm (No. 123)
Unique sites:
Ca (0.000, 0.000, 0.000) (multiplicity 1)
Cr (0.500, 0.500, 0.500) (multiplicity 1)
Ir (0.000, 0.500, 0.000) (multiplicity 2)
W (0.000, 0.000, 0.500) (multiplicity 1)

---

# 3
VASP calculation (GGA-PBE) on CaYCr2Ir after structural relaxation.

Energy of formation from the pure elements in meV/atom: 1679

abc: 4.421 4.421 5.044
angles: 90.00 90.00 90.00
Space group P4/mmm (No. 123)
Unique sites:
Ca (0.000, 0.000, 0.000) (multiplicity 1)
Y (0.500, 0.500, 0.500) (multiplicity 1)
Cr (0.000, 0.500, 0.000) (multiplicity 2)
Ir (0.000, 0.000, 0.500) (multiplicity 1)

---

# 4
VASP calculation (GGA-PBE) on KCaCr2 after structural relaxation.

Energy of formation from the pure elements in meV/atom: 1769

abc: 3.994 3.994 22.127
angles: 90.00 90.00 90.00
Space group I-42d (No. 122)
Unique sites:
K (0.000, 0.000, 0.000) (multiplicity 4)
Ca (0.000, 0.000, 0.500) (multiplicity 4)
Cr (0.153, 0.250, 0.625) (multiplicity 8)

---

# 5
VASP calculation (GGA-PBE) on K2CaCr after structural relaxation.

Energy of formation from the pure elements in meV/atom: 735

abc: 4.020 5.930 7.393
angles: 90.00 90.00 90.00
Space group Pmmm (No. 47)
Unique sites:
K (0.000, 0.000, 0.230) (multiplicity 2)
Ca (0.500, 0.500, 0.500) (multiplicity 1)
Cr (0.500, 0.500, 0.000) (multiplicity 1)

---

# 6
VASP calculation (GGA-PBE) on K2CaCr after structural relaxation.

Energy of formation from the pure elements in meV/atom: 733

abc: 5.494 5.524 11.870
angles: 90.00 90.00 90.00
Space group Cmmm (No. 65)
Unique sites:
K (0.000, 0.000, 0.209) (multiplicity 4)
Ca (0.000, 0.500, 0.500) (multiplicity 2)
Cr (0.000, 0.500, 0.000) (multiplicity 2)

---

# 7
VASP calculation (GGA-PBE) on K2CaCr after structural relaxation.

Energy of formation from the pure elements in meV/atom: 649

abc: 11.788 4.094 8.595
angles: 90.00 110.95 90.00
Space group Cm (No. 8)
Unique sites:
K (0.000, 0.000, 0.000) (multiplicity 2)
K (0.182, 0.000, 0.695) (multiplicity 2)
Ca (0.372, 0.000, 0.351) (multiplicity 2)
Cr (0.156, 0.500, 0.348) (multiplicity 2)

---

# 8
VASP calculation (GGA-PBE) on KCaCr2 after structural relaxation.

Energy of formation from the pure elements in meV/atom: 1086

abc: 7.964 7.964 7.964
angles: 90.00 90.00 90.00
Space group Fm-3m (No. 225)
Unique sites:
K (0.000, 0.000, 0.000) (multiplicity 4)
Ca (0.000, 0.000, 0.500) (multiplicity 4)
Cr (0.250, 0.250, 0.250) (multiplicity 8)

---

# 9
VASP calculation (GGA-PBE) on K2CaCr after structural relaxation.

Energy of formation from the pure elements in meV/atom: 741

abc: 3.9411 3.9411 39.3283
angles: 90.00 90.00 120.00
Space group R-3m (No. 166, hexagonal axes)
Unique sites:
K (0.0000, 0.0000, 0.2390) (multiplicity 6)
Ca (0.0000, 0.0000, 0.0000) (multiplicity 3)
Cr (0.0000, 0.0000, 0.5000) (multiplicity 3)

---

# 10
VASP calculation (GGA-PBE) on KCaCr2 after structural relaxation.

Energy of formation from the pure elements in meV/atom: 992

abc: 3.874 3.874 8.682
angles: 90.00 90.00 90.00
Space group P4/mmm (No. 123)
Unique sites:
K (0.000, 0.000, 0.000) (multiplicity 1)
Ca (0.000, 0.000, 0.500) (multiplicity 1)
Cr (0.500, 0.500, 0.299) (multiplicity 2)

---

# 11
VASP calculation (GGA-PBE) on KCa3Cr after structural relaxation.

Energy of formation from the pure elements in meV/atom: 748

abc: 5.716 5.716 5.716
angles: 90.00 90.00 90.00
Space group Pm-3m (No. 221)
Unique sites:
K (0.000, 0.000, 0.000) (multiplicity 1)
Ca (0.000, 0.500, 0.500) (multiplicity 3)
Cr (0.500, 0.500, 0.500) (multiplicity 1)

---

# 12
VASP calculation (GGA-PBE) on KCaCr2 after structural relaxation.

Energy of formation from the pure elements in meV/atom: 802

abc: 3.715 5.633 11.046
angles: 90.00 90.00 90.00
Space group Imm2 (No. 44)
Unique sites:
K (0.000, 0.000, 0.000) (multiplicity 2)
Ca (0.000, 0.500, 0.795) (multiplicity 2)
Cr (0.000, 0.000, 0.588) (multiplicity 2)
Cr (0.000, 0.500, 0.227) (multiplicity 2)

---

# 13
VASP calculation (GGA-PBE) on KCaCr2 after structural relaxation.

Energy of formation from the pure elements in meV/atom: 1076

abc: 10.628 3.295 7.703
angles: 90.00 95.16 90.00
Space group C2/m (No. 12)
Unique sites:
K (0.000, 0.000, 0.000) (multiplicity 2)
Ca (0.000, 0.500, 0.500) (multiplicity 2)
Cr (0.245, 0.000, 0.664) (multiplicity 4)

---

# 14
VASP calculation (GGA-PBE) on KCaCr2 after structural relaxation.

Energy of formation from the pure elements in meV/atom: 611

abc: 3.378 3.380 9.625
angles: 90.00 90.07 90.00
Space group Pm (No. 6)
Unique sites:
K (0.000, 0.000, 0.000) (multiplicity 1)
Ca (0.494, 0.500, 0.391) (multiplicity 1)
Cr (0.496, 0.500, 0.709) (multiplicity 1)
Cr (0.995, 0.000, 0.624) (multiplicity 1)

---

# 15
VASP calculation (GGA-PBE) on KCaCr2 after structural relaxation.

Energy of formation from the pure elements in meV/atom: 1101

abc: 4.940 4.940 9.968
angles: 90.00 90.00 90.00
Space group I-4m2 (No. 119)
Unique sites:
K (0.000, 0.000, 0.000) (multiplicity 2)
Ca (0.000, 0.500, 0.750) (multiplicity 2)
Cr (0.000, 0.000, 0.500) (multiplicity 2)
Cr (0.000, 0.500, 0.250) (multiplicity 2)

---

# 16
VASP calculation (GGA-PBE) on K2CaCr after structural relaxation.

Energy of formation from the pure elements in meV/atom: 598

abc: 4.025 5.061 19.814
angles: 90.00 90.00 90.00
Space group Immm (No. 71)
Unique sites:
K (0.000, 0.000, 0.162) (multiplicity 4)
Ca (0.000, 0.500, 0.000) (multiplicity 2)
Cr (0.000, 0.500, 0.500) (multiplicity 2)

---

# 17
VASP calculation (GGA-PBE) on K2CaCr after structural relaxation.

Energy of formation from the pure elements in meV/atom: 778

abc: 8.928 8.928 8.928
angles: 90.00 90.00 90.00
Space group Fm-3m (No. 225)
Unique sites:
K (0.250, 0.250, 0.250) (multiplicity 8)
Ca (0.000, 0.000, 0.000) (multiplicity 4)
Cr (0.000, 0.000, 0.500) (multiplicity 4)

---

# 18
VASP calculation (GGA-PBE) on K2CaCr after structural relaxation.

Energy of formation from the pure elements in meV/atom: 681

abc: 5.123 5.123 12.913
angles: 90.00 90.00 90.00
Space group I4/mmm (No. 139)
Unique sites:
K (0.000, 0.500, 0.250) (multiplicity 4)
Ca (0.000, 0.000, 0.000) (multiplicity 2)
Cr (0.000, 0.000, 0.500) (multiplicity 2)

---

# 19
VASP calculation (GGA-PBE) on K2CaCr after structural relaxation.

Energy of formation from the pure elements in meV/atom: 710

abc: 4.027 6.682 6.325
angles: 90.00 95.82 90.00
Space group P2/m (No. 10)
Unique sites:
K (0.222, 0.000, 0.266) (multiplicity 2)
Ca (0.500, 0.500, 0.000) (multiplicity 1)
Cr (0.000, 0.500, 0.500) (multiplicity 1)

---

# 20
VASP calculation (GGA-PBE) on K2CaCr after structural relaxation.

Energy of formation from the pure elements in meV/atom: 757

abc: 5.020 5.020 27.746
angles: 90.00 90.00 90.00
Space group I-42d (No. 122)
Unique sites:
K (0.232, 0.250, 0.125) (multiplicity 8)
Ca (0.000, 0.000, 0.500) (multiplicity 4)
Cr (0.000, 0.000, 0.000) (multiplicity 4)

---

# 21
VASP calculation (GGA-PBE) on KCaCr4 after structural relaxation.

Energy of formation from the pure elements in meV/atom: 1154

abc: 8.402 8.402 8.402
angles: 90.00 90.00 90.00
Space group F-43m (No. 216)
Unique sites:
K (0.000, 0.000, 0.000) (multiplicity 4)
Ca (0.250, 0.250, 0.750) (multiplicity 4)
Cr (0.124, 0.124, 0.376) (multiplicity 16)

---

# 22
VASP calculation (GGA-PBE) on K2CaCr after structural relaxation.

Energy of formation from the pure elements in meV/atom: 669

abc: 8.745 8.745 8.745
angles: 90.00 90.00 90.00
Space group F-43m (No. 216)
Unique sites:
K (0.000, 0.000, 0.000) (multiplicity 4)
K (0.250, 0.250, 0.250) (multiplicity 4)
Ca (0.250, 0.250, 0.750) (multiplicity 4)
Cr (0.000, 0.000, 0.500) (multiplicity 4)

---

# 23
VASP calculation (GGA-PBE) on KCa3Cr after structural relaxation.

Energy of formation from the pure elements in meV/atom: 1345

abc: 6.175 6.175 6.175
angles: 90.00 90.00 90.00
Space group Pm-3m (No. 221)
Unique sites:
K (0.000, 0.000, 0.000) (multiplicity 1)
Ca (0.000, 0.000, 0.500) (multiplicity 3)
Cr (0.500, 0.500, 0.500) (multiplicity 1)

---

# 24
VASP calculation (GGA-PBE) on K2CaCr after structural relaxation.

Energy of formation from the pure elements in meV/atom: 718

abc: 7.149 13.574 3.986
angles: 90.00 118.71 90.00
Space group C2/m (No. 12)
Unique sites:
K (0.250, 0.250, 0.000) (multiplicity 4)
Ca (0.000, 0.000, 0.500) (multiplicity 2)
Cr (0.000, 0.500, 0.500) (multiplicity 2)

---

# 25
VASP calculation (GGA-PBE) on K2CaCr after structural relaxation.

Energy of formation from the pure elements in meV/atom: 541

abc: 4.076 4.077 11.061
angles: 90.00 90.11 90.00
Space group Pm (No. 6)
Unique sites:
K (0.000, 0.000, 0.000) (multiplicity 1)
K (0.499, 0.500, 0.346) (multiplicity 1)
Ca (0.000, 0.000, 0.638) (multiplicity 1)
Cr (0.500, 0.500, 0.778) (multiplicity 1)

---

# 26
VASP calculation (GGA-PBE) on KCaCr2 after structural relaxation.

Energy of formation from the pure elements in meV/atom: 1101

abc: 3.5619 3.5619 33.7523
angles: 90.00 90.00 120.00
Space group R-3m (No. 166, hexagonal axes)
Unique sites:
K (0.0000, 0.0000, 0.0000) (multiplicity 3)
Ca (0.0000, 0.0000, 0.5000) (multiplicity 3)
Cr (0.0000, 0.0000, 0.2425) (multiplicity 6)

---

# 27
VASP calculation (GGA-PBE) on KCaCr2 after structural relaxation.

Energy of formation from the pure elements in meV/atom: 1105

abc: 7.825 7.825 7.825
angles: 90.00 90.00 90.00
Space group F-43m (No. 216)
Unique sites:
K (0.000, 0.000, 0.000) (multiplicity 4)
Ca (0.250, 0.250, 0.750) (multiplicity 4)
Cr (0.000, 0.000, 0.500) (multiplicity 4)
Cr (0.250, 0.250, 0.250) (multiplicity 4)

---

# 28
VASP calculation (GGA-PBE) on K2CaCr after structural relaxation.

Energy of formation from the pure elements in meV/atom: 652

abc: 4.143 6.735 13.352
angles: 90.00 90.00 90.00
Space group Imm2 (No. 44)
Unique sites:
K (0.000, 0.000, 0.000) (multiplicity 2)
K (0.000, 0.500, 0.203) (multiplicity 2)
Ca (0.000, 0.500, 0.797) (multiplicity 2)
Cr (0.000, 0.000, 0.477) (multiplicity 2)

---

# 29
VASP calculation (GGA-PBE) on K2CaCr after structural relaxation.

Energy of formation from the pure elements in meV/atom: 748

abc: 7.215 12.595 3.873
angles: 90.00 90.00 90.00
Space group Cmmm (No. 65)
Unique sites:
K (0.250, 0.250, 0.000) (multiplicity 4)
Ca (0.000, 0.000, 0.500) (multiplicity 2)
Cr (0.000, 0.500, 0.500) (multiplicity 2)

---

# 30
VASP calculation (GGA-PBE) on K2CaCr after structural relaxation.

Energy of formation from the pure elements in meV/atom: 674

abc: 5.145 5.155 6.367
angles: 90.00 90.00 90.00
Space group Pmmm (No. 47)
Unique sites:
K (0.000, 0.000, 0.000) (multiplicity 1)
K (0.500, 0.500, 0.000) (multiplicity 1)
Ca (0.000, 0.500, 0.500) (multiplicity 1)
Cr (0.500, 0.000, 0.500) (multiplicity 1)